[1]
Compound: AcTbSm4
Source: Alexandria
Functional: PBE
Structure: relaxed

a b c (Å): 3.7014 6.3204 9.7083
angles (deg): 71.26 79.03 89.93
Fractional coordinates of all 6 atoms:
Ac 0.0000 0.0000 0.0000
Tb 0.5000 0.5000 0.0000
Sm 0.1671 0.5013 0.6654
Sm 0.3302 0.9976 0.3396
Sm 0.6698 0.0024 0.6604
Sm 0.8329 0.4987 0.3346

Summary:
Excess energy over the best structure of this formula in the dataset in meV/atom: 0.0
Space-group type: No. 2

[2]
Compound: HfTlCuF6
Source: Alexandria
Functional: PBE
Structure: relaxed

a b c (Å): 5.7974 5.7974 11.7928
angles (deg): 90.00 90.00 120.00
Fractional coordinates of all 18 atoms:
Hf 0.3333 0.6667 0.2500
Hf 0.6667 0.3333 0.7500
Tl 0.0000 0.0000 0.0000
Tl 0.0000 0.0000 0.5000
Cu 0.3333 0.6667 0.7500
Cu 0.6667 0.3333 0.2500
F 0.0347 0.3953 0.1526
F 0.0347 0.6394 0.3474
F 0.3606 0.3953 0.3474
F 0.3606 0.9653 0.1526
F 0.3953 0.0347 0.6526
F 0.3953 0.3606 0.8474
F 0.6047 0.6394 0.1526
F 0.6047 0.9653 0.3474
F 0.6394 0.0347 0.8474
F 0.6394 0.6047 0.6526
F 0.9653 0.3606 0.6526
F 0.9653 0.6047 0.8474

Summary:
ΔE_f (raw) in eV per atom: -2.734
Space-group type: No. 163

[3]
Compound: Ta2Pd5Ru
Source: Alexandria
Functional: PBE
Structure: relaxed

a b c (Å): 5.6475 11.2641 3.8931
angles (deg): 90.00 90.00 90.00
Fractional coordinates of all 16 atoms:
Ta 0.2240 0.1169 0.0000
Ta 0.2760 0.6169 0.0000
Ta 0.7240 0.3831 0.0000
Ta 0.7760 0.8831 0.0000
Pd 0.0000 0.5000 0.5000
Pd 0.0204 0.7492 0.5000
Pd 0.2368 0.3727 0.0000
Pd 0.2632 0.8727 0.0000
Pd 0.4796 0.2492 0.5000
Pd 0.5000 0.0000 0.5000
Pd 0.5204 0.7508 0.5000
Pd 0.7368 0.1273 0.0000
Pd 0.7632 0.6273 0.0000
Pd 0.9796 0.2508 0.5000
Ru 0.0000 0.0000 0.5000
Ru 0.5000 0.5000 0.5000

Summary:
Space-group type: No. 55
E_tot in eV per atom: -7.787

[4]
Compound: Er2TcB6
Source: Alexandria
Functional: PBE
Structure: relaxed

a b c (Å): 6.6452 6.6452 6.6452
angles (deg): 150.05 132.29 57.36
Fractional coordinates of all 9 atoms:
Er 0.1623 0.1623 0.0000
Er 0.8377 0.8377 0.0000
Tc 0.5000 0.0000 0.5000
B 0.1656 0.5000 0.6656
B 0.2294 0.3795 0.8499
B 0.4704 0.6205 0.8499
B 0.5296 0.3795 0.1501
B 0.7706 0.6205 0.1501
B 0.8344 0.5000 0.3344

Summary:
Excess energy over the best structure of this formula in the dataset in meV/atom: 0.0
Space-group type: No. 71

[5]
Compound: Ta3CoH
Source: Alexandria
Functional: PBE
Structure: relaxed

a b c (Å): 4.0887 4.0887 4.0887
angles (deg): 90.00 90.00 90.00
Fractional coordinates of all 5 atoms:
Ta 0.0000 0.0000 0.5000
Ta 0.0000 0.5000 0.0000
Ta 0.5000 0.0000 0.0000
Co 0.5000 0.5000 0.5000
H 0.0000 0.0000 0.0000

Summary:
Excess energy over the best structure of this formula in the dataset in meV/atom: 0.0
Space-group type: No. 221

[6]
Compound: La8CdIr2
Source: Alexandria
Functional: PBE
Structure: relaxed

a b c (Å): 8.5353 8.5353 6.6017
angles (deg): 96.33 96.33 49.71
Fractional coordinates of all 11 atoms:
La 0.0725 0.0725 0.3357
La 0.1297 0.6137 0.1149
La 0.2948 0.2948 0.6193
La 0.3863 0.8703 0.8851
La 0.6137 0.1297 0.1149
La 0.7052 0.7052 0.3807
La 0.8703 0.3863 0.8851
La 0.9275 0.9275 0.6643
Cd 0.5000 0.5000 0.5000
Ir 0.2288 0.2288 0.1788
Ir 0.7712 0.7712 0.8212

Summary:
Excess energy over the best structure of this formula in the dataset in meV/atom: 0.0
Space-group type: No. 12

[7]
Compound: CeTm2Ti
Source: Alexandria
Functional: PBE
Structure: relaxed

a b c (Å): 11.6796 11.6796 11.6796
angles (deg): 16.12 16.12 16.12
Fractional coordinates of all 4 atoms:
Ce 0.0000 0.0000 0.0000
Tm 0.4157 0.4157 0.4157
Tm 0.5843 0.5843 0.5843
Ti 0.5000 0.5000 0.5000

Summary:
Excess energy over the best structure of this formula in the dataset in meV/atom: 210.8
Space-group type: No. 166

[8]
Compound: Cd7GaHg2
Source: Alexandria
Functional: PBE
Structure: relaxed

a b c (Å): 9.8189 9.8189 3.1535
angles (deg): 90.00 90.00 123.42
Fractional coordinates of all 10 atoms:
Cd 0.0000 0.0000 0.0000
Cd 0.1832 0.3644 0.0000
Cd 0.3210 0.6790 0.5000
Cd 0.3644 0.1832 0.0000
Cd 0.6356 0.8168 0.0000
Cd 0.6790 0.3210 0.5000
Cd 0.8168 0.6356 0.0000
Ga 0.5000 0.5000 0.5000
Hg 0.1766 0.8234 0.0000
Hg 0.8234 0.1766 0.0000

Summary:
Excess energy over the best structure of this formula in the dataset in meV/atom: 21.6
Space-group type: No. 65